1.
# RbLi2Bi2 meta-GGA SCAN single point on PBEsol structure
data_RbLi2Bi2
_chemical_formula_sum 'Rb2 Li4 Bi4'
_cell_length_a 9.0589
_cell_length_b 9.0589
_cell_length_c 3.2752
_cell_angle_alpha 90.00
_cell_angle_beta 90.00
_cell_angle_gamma 90.00
_symmetry_space_group_name_H-M 'P 4/m b m'
_symmetry_Int_Tables_number 127
_symmetry_space_group_name_Hall '-P 4 2ab'
loop_
_atom_site_label
_atom_site_type_symbol
_atom_site_fract_x
_atom_site_fract_y
_atom_site_fract_z
Rb1 Rb 0.0000 0.0000 0.0000
Li1 Li 0.1264 0.3736 0.0000
Bi1 Bi 0.1575 0.6575 0.5000
# * Fermi-level density of states: 0.423 states/eV per atom
# * total energy: -36.98 eV per atom
# * size of the total moment: 0.00 μB per formula unit


2.
# MnPO4 meta-GGA SCAN single point on PBEsol structure
data_MnPO4
_chemical_formula_sum 'Mn8 P8 O32'
_cell_length_a 5.4763
_cell_length_b 11.0217
_cell_length_c 9.1188
_cell_angle_alpha 90.00
_cell_angle_beta 90.00
_cell_angle_gamma 90.00
_symmetry_space_group_name_H-M 'F d d 2'
_symmetry_Int_Tables_number 43
_symmetry_space_group_name_Hall 'F 2 -2d'
loop_
_atom_site_label
_atom_site_type_symbol
_atom_site_fract_x
_atom_site_fract_y
_atom_site_fract_z
Mn1 Mn 0.0000 0.0000 0.0000
P1 P 0.0000 0.0000 0.6540
O1 O 0.0554 0.3132 0.8099
O2 O 0.1150 0.4083 0.2649
# * Fermi-level density of states: 0.000 states/eV per atom
# * total energy: -11.25 eV per atom
# * E_form (uncorrected): -2316.6 meV per atom
# * size of the total moment: 4.00 μB per formula unit


3.
# Mn2IrSe meta-GGA SCAN single point on PBEsol structure
data_Mn2IrSe
_chemical_formula_sum 'Mn2 Ir1 Se1'
_cell_length_a 2.7842
_cell_length_b 2.7842
_cell_length_c 6.5657
_cell_angle_alpha 90.00
_cell_angle_beta 90.00
_cell_angle_gamma 90.00
_symmetry_space_group_name_H-M 'P 4/m m m'
_symmetry_Int_Tables_number 123
_symmetry_space_group_name_Hall '-P 4 2'
loop_
_atom_site_label
_atom_site_type_symbol
_atom_site_fract_x
_atom_site_fract_y
_atom_site_fract_z
Mn1 Mn 0.0000 0.0000 0.2388
Ir1 Ir 0.5000 0.5000 0.5000
Se1 Se 0.5000 0.5000 0.0000
# * Fermi-level density of states: 1.200 states/eV per atom
# * total energy: -31.90 eV per atom
# * E_form (uncorrected): 25.7 meV per atom
# * size of the total moment: 5.69 μB per formula unit